## NaTl2AsO4 (PBE)

Data for NaTl2AsO4 after structural relaxation.

**SG**: Fddd, No. 70
**Raw formation energy**: -25.0 kcal/mol of atoms
**Size of the total moment**: 0.0 μB per cell

Cell lengths 5.7431, 6.3604, 11.1793 Å; angles 83.34, 75.12, 63.16 degrees
Last column: nearest neighbours and their distance in Å.
Fractional coordinates of all 16 atoms:
O: 0.2613 0.1902 0.9198  1 As 1.74
O: 0.3712 0.8098 0.0802  1 As 1.74
Tl: 0.5578 0.5000 0.8844  4 O 2.78-3.07
O: 0.5485 0.1902 0.0802  1 As 1.74
Tl: 0.1922 0.0000 0.6156  4 O 2.78-3.07
O: 0.9311 0.6902 0.5802  1 As 1.74
Na: 0.7500 0.5000 0.5000  4 O 2.28
As: 0.2500 0.5000 0.5000  4 O 1.74
O: 0.2015 0.3098 0.4198  1 As 1.74
Tl: 0.8078 0.0000 0.3844  4 O 2.78-3.07
As: 0.5000 0.0000 0.0000  4 O 1.74
Na: 0.0000 0.0000 0.0000  4 O 2.28
O: 0.3788 0.6902 0.4198  1 As 1.74
O: 0.8189 0.8098 0.9198  1 As 1.74
O: 0.4887 0.3098 0.5802  1 As 1.74
Tl: 0.9422 0.5000 0.1156  4 O 2.78-3.07

## Sm2Mg3In3 (PBE)

Data for Sm2Mg3In3 after structural relaxation.

**DFT total energy**: -3.1600 eV/atom
**SG**: Pmmm, No. 47
**Size of the total moment**: 0.0 μB per cell

Cell lengths 4.7689, 4.7103, 8.9933 Å; angles 90.00, 90.00, 90.00 degrees
Last column: nearest neighbours and their distance in Å.
Fractional coordinates of all 8 atoms:
In: 0.0000 0.5000 0.5000  4 Sm 3.24, 4 Mg 3.27, 4 In 3.35
Mg: 0.5000 0.0000 0.0000  4 Mg 3.26, 4 Sm 3.29, 4 In 3.35
In: 0.5000 0.0000 0.5000  4 Mg 3.25, 4 Sm 3.27, 4 In 3.35
Sm: 0.0000 0.0000 0.7481  6 In 3.24-3.27, 6 Mg 3.29-3.35
Mg: 0.5000 0.5000 0.2508  6 In 3.25-3.28, 2 Mg 3.26, 4 Sm 3.35
In: 0.0000 0.5000 0.0000  4 Sm 3.27, 8 Mg 3.28-3.35
Mg: 0.5000 0.5000 0.7492  6 In 3.25-3.28, 2 Mg 3.26, 4 Sm 3.35
Sm: 0.0000 0.0000 0.2519  6 In 3.24-3.27, 6 Mg 3.29-3.35

## NpUSb2 (PBE)

Data for NpUSb2 after structural relaxation.

**Relative energy among the computed polymorphs**: 45 meV per atom
**SG**: I4_1/amd, No. 141
**Raw formation energy**: -3.5 kcal/mol of atoms
**Size of the total moment**: 3.0 μB per cell

Cell lengths 6.2052, 6.2052, 7.5849 Å; angles 114.15, 114.15, 90.00 degrees
Last column: nearest neighbours and their distance in Å.
Fractional coordinates of all 8 atoms:
Sb: 0.2503 0.2503 0.5006  3 U 3.09-3.10, 3 Np 3.10
Np: 0.7500 0.2500 0.5000  6 Sb 3.10
Sb: 0.7497 0.7497 0.4994  3 U 3.09-3.10, 3 Np 3.10
U: 0.5000 0.5000 0.0000  6 Sb 3.09-3.10
Np: 0.0000 0.0000 0.0000  6 Sb 3.10
Sb: 0.0003 0.5003 0.0006  3 U 3.09-3.10, 3 Np 3.10
U: 0.2500 0.7500 0.5000  6 Sb 3.09-3.10
Sb: 0.4997 0.9997 0.9994  3 U 3.09-3.10, 3 Np 3.10

## Si2Ni8Sb (PBE)

Data for Si2Ni8Sb after structural relaxation.

**SG**: Cm, No. 8
**Raw formation energy**: -7.5 kcal/mol of atoms
**Size of the total moment**: 0.0 μB per cell

Cell lengths 4.3837, 4.9924, 6.8268 Å; angles 109.54, 106.62, 95.57 degrees
Last column: nearest neighbours and their distance in Å.
Fractional coordinates of all 11 atoms:
Ni: 0.7136 0.0312 0.1536  2 Si 2.54, 8 Ni 2.59-2.73, 2 Sb 2.64-2.65
Ni: 0.2852 0.3548 0.2781  2 Si 2.27-2.37, 1 Ni 2.40
Ni: 0.4689 0.7862 0.6643  2 Si 2.53-2.55, 8 Ni 2.59-2.73, 2 Sb 2.64-2.65
Ni: 0.8966 0.4637 0.5394  2 Si 2.27-2.37, 1 Ni 2.40
Ni: 0.2667 0.8340 0.2790  2 Si 2.27-2.37, 1 Ni 2.40
Si: 0.4292 0.2489 0.5865  7 Ni 2.27-2.53
Ni: 0.3481 0.4929 0.9095  2 Si 2.28, 2 Ni 2.34-2.36, 1 Sb 2.46
Si: 0.7528 0.5707 0.2318  7 Ni 2.27-2.54
Ni: 0.9158 0.9851 0.5397  2 Si 2.27-2.37, 1 Ni 2.40
Ni: 0.8314 0.3234 0.9089  2 Si 2.28, 2 Ni 2.34-2.36, 1 Sb 2.46
Sb: 0.0917 0.9091 0.9090  10 Ni 2.46-2.65

## SmAl2SiRu2 (PBE)

Data for SmAl2SiRu2 after structural relaxation.

**SG**: P4/mmm, No. 123
**Raw formation energy**: -10.8 kcal/mol of atoms
**Size of the total moment**: 0.0 μB per cell

Cell lengths 4.4240, 4.4240, 5.7142 Å; angles 90.00, 90.00, 90.00 degrees
Last column: nearest neighbours and their distance in Å.
Fractional coordinates of all 6 atoms:
Ru: 0.0000 0.5000 0.0000  2 Si 2.21
Al: 0.5000 0.5000 0.7389  4 Ru 2.67, 2 Al 2.73-2.98
Ru: 0.5000 0.0000 0.0000  2 Si 2.21
Sm: 0.0000 0.0000 0.5000  2 Si 2.86
Al: 0.5000 0.5000 0.2611  4 Ru 2.67, 2 Al 2.73-2.98
Si: 0.0000 0.0000 0.0000  4 Ru 2.21

## PrHo2Tm3Te6 (PBE)

Data for PrHo2Tm3Te6 after structural relaxation.

**SG**: C2/m, No. 12
**Raw formation energy**: -28.6 kcal/mol of atoms
**Size of the total moment**: 0.0 μB per cell

Cell lengths 4.3080, 8.7919, 9.7963 Å; angles 104.38, 102.70, 90.00 degrees
Last column: nearest neighbours and their distance in Å.
Fractional coordinates of all 12 atoms:
Tm: 0.8395 0.1712 0.6790  6 Te 2.97-3.08
Ho: 0.1623 0.3234 0.3246  6 Te 3.00-3.14
Te: 0.3320 0.4177 0.6640  3 Tm 3.08-3.11, 3 Ho 3.12-3.14
Ho: 0.8377 0.6766 0.6754  6 Te 3.00-3.14
Te: 0.0004 0.2635 0.0007  3 Tm 2.97-3.00, 1 Ho 3.00, 2 Pr 3.16
Tm: 0.5000 0.5000 0.0000  6 Te 3.00-3.11
Pr: 0.5000 0.0000 0.0000  6 Te 3.16-3.22
Te: 0.9996 0.7365 0.9993  3 Tm 2.97-3.00, 1 Ho 3.00, 2 Pr 3.16
Tm: 0.1605 0.8288 0.3210  6 Te 2.97-3.08
Te: 0.3260 0.9191 0.6521  3 Tm 3.05-3.06, 2 Ho 3.08, 1 Pr 3.22
Te: 0.6740 0.0809 0.3479  3 Tm 3.05-3.06, 2 Ho 3.08, 1 Pr 3.22
Te: 0.6680 0.5823 0.3360  3 Tm 3.08-3.11, 3 Ho 3.12-3.14

## BaTiOs2 (PBE)

Data for BaTiOs2 after structural relaxation.

**Relative energy among the computed polymorphs**: 289 meV per atom
**SG**: Fm-3m, No. 225
**Size of the total moment**: 0.0 μB per cell

Cell lengths 4.7829, 4.7829, 4.7829 Å; angles 60.00, 60.00, 60.00 degrees
Last column: nearest neighbours and their distance in Å.
Fractional coordinates of all 4 atoms:
Os: 0.2500 0.2500 0.2500  4 Ba 2.93, 4 Ti 2.93
Ba: 0.5000 0.5000 0.5000  8 Os 2.93
Ti: 0.0000 0.0000 0.0000  8 Os 2.93
Os: 0.7500 0.7500 0.7500  4 Ti 2.93, 4 Ba 2.93

What did the second record say?
## Sm2Mg3In3 (PBE)

Data for Sm2Mg3In3 after structural relaxation.

**DFT total energy**: -3.1600 eV/atom
**SG**: Pmmm, No. 47
**Size of the total moment**: 0.0 μB per cell

Cell lengths 4.7689, 4.7103, 8.9933 Å; angles 90.00, 90.00, 90.00 degrees
Last column: nearest neighbours and their distance in Å.
Fractional coordinates of all 8 atoms:
In: 0.0000 0.5000 0.5000  4 Sm 3.24, 4 Mg 3.27, 4 In 3.35
Mg: 0.5000 0.0000 0.0000  4 Mg 3.26, 4 Sm 3.29, 4 In 3.35
In: 0.5000 0.0000 0.5000  4 Mg 3.25, 4 Sm 3.27, 4 In 3.35
Sm: 0.0000 0.0000 0.7481  6 In 3.24-3.27, 6 Mg 3.29-3.35
Mg: 0.5000 0.5000 0.2508  6 In 3.25-3.28, 2 Mg 3.26, 4 Sm 3.35
In: 0.0000 0.5000 0.0000  4 Sm 3.27, 8 Mg 3.28-3.35
Mg: 0.5000 0.5000 0.7492  6 In 3.25-3.28, 2 Mg 3.26, 4 Sm 3.35
Sm: 0.0000 0.0000 0.2519  6 In 3.24-3.27, 6 Mg 3.29-3.35